No. 1
Material: Na3ZrZn
Method: DFT, PBE
State: relaxed

Unit cell a=6.303 b=6.303 c=6.303 alpha=90.00 beta=90.00 gamma=90.00
Site moments in Bohr magnetons follow the coordinates.
Atoms (fractional coordinates):
Na 0.000 0.500 0.000  0.06
Na 0.500 0.000 0.000  0.09
Na 0.000 0.000 0.500  0.04
Zn 0.500 0.500 0.500  0.05
Zr 0.000 0.000 0.000  1.92

- V (Å³ per atom) = 50.1
- space-group type = Pm-3m (221)
- formation energy from the elements (kJ per mole of atoms) = 121.64

No. 2
Material: Na3InAg
Method: DFT, PBE
State: relaxed

Unit cell a=7.352 b=7.352 c=7.552 alpha=105.72 beta=121.20 gamma=100.92
Atoms (fractional coordinates):
Na 0.832 0.013 0.239
Na 0.226 0.407 0.239
Na 0.726 0.441 0.167
Na 0.774 0.593 0.761
Na 0.274 0.559 0.833
Na 0.168 0.987 0.761
In 0.707 0.070 0.777
In 0.293 0.930 0.223
Ag 0.368 0.233 0.602
Ag 0.632 0.767 0.398

- V (Å³ per atom) = 30.8
- space-group type = C2/m (12)
- formation energy from the elements (kJ per mole of atoms) = -0.33

No. 3
Material: CaAl2Te2
Method: DFT, PBE
State: relaxed

Unit cell a=3.954 b=3.954 c=8.982 alpha=77.28 beta=77.28 gamma=90.00
Atoms (fractional coordinates):
Te 0.603 0.603 0.794
Te 0.397 0.397 0.206
Al 0.750 0.250 0.500
Al 0.250 0.750 0.500
Ca 0.000 0.000 0.000

- V (Å³ per atom) = 26.7
- space-group type = I4/mmm (139)
- final energy (eV/atom) = -3.564